Computed, not measured: a relaxed BNClF2 crystal at the PBEsol level of DFT.

Summary:
Formation energy without anion corrections, eV per atom: -0.105
Fermi-level density of states, states/eV per cell: 1.0
DFT total energy, eV for the cell shown: -21.933
M_tot, μB/f.u.: 0.000

Cell lengths 3.170, 3.170, 4.250 Å; angles 90.00, 90.00, 90.00 degrees
Space group P4/mmm (No. 123)
Unique sites:
B 0.000 0.000 0.000 x1
N 0.000 0.000 0.500 x1
Cl 0.500 0.500 0.500 x1
F 0.000 0.500 0.000 x2

Computed, not measured: a relaxed Tl2NiTe crystal at the PBEsol level of DFT.

Summary:
Formation energy without anion corrections, eV per atom: 0.501
Fermi-level density of states, states/eV per cell: 18.1
DFT total energy, eV for the cell shown: -51.768
M_tot, μB/f.u.: 0.333
Offset from the most stable computed form, kJ/mol of atoms: 25.95

Cell lengths 7.261, 7.261, 7.261 Å; angles 90.00, 90.00, 90.00 degrees
Space group Fm-3m (No. 225)
Unique sites:
Tl 0.250 0.250 0.250 x8
Ni 0.000 0.000 0.000 x4
Te 0.000 0.000 0.500 x4

Computed, not measured: a relaxed ScIn2Ir crystal at the PBEsol level of DFT.

Summary:
Fermi-level density of states, states/eV per cell: 4.1
DFT total energy, eV for the cell shown: -47.588
M_tot, μB/f.u.: 0.000
ΔH_f (0 K), meV/atom: -350

Cell lengths 4.299, 4.299, 7.987 Å; angles 90.00, 90.00, 90.00 degrees
Space group I-4m2 (No. 119)
Unique sites:
Sc 0.000 0.000 0.000 x2
In 0.000 0.000 0.500 x2
In 0.000 0.500 0.250 x2
Ir 0.000 0.500 0.750 x2

Computed, not measured: a relaxed OsOF2 crystal at the PBEsol level of DFT.

Summary:
Formation energy without anion corrections, eV per atom: 0.509
Fermi-level density of states, states/eV per cell: 16.0
DFT total energy, eV for the cell shown: -77.134
M_tot, μB/f.u.: 3.508
Offset from the most stable computed form, kJ/mol of atoms: 0.00

Cell lengths 5.349, 5.349, 5.349 Å; angles 90.00, 90.00, 90.00 degrees
Space group Fm-3m (No. 225)
Unique sites:
Os 0.000 0.000 0.000 x4
O 0.000 0.000 0.500 x4
F 0.250 0.250 0.250 x8

Computed, not measured: a relaxed YAlSi crystal at the PBEsol level of DFT.

Summary:
Formation energy without anion corrections, eV per atom: 0.132
Fermi-level density of states, states/eV per cell: 4.5
DFT total energy, eV for the cell shown: -65.062
M_tot, μB/f.u.: 0.000

Cell lengths 6.587, 6.587, 6.587 Å; angles 90.00, 90.00, 90.00 degrees
Space group F-43m (No. 216)
Unique sites:
Y 0.000 0.000 0.000 x4
Al 0.250 0.250 0.750 x4
Si 0.250 0.250 0.250 x4

Computed, not measured: a relaxed CaLaPb2 crystal at the PBEsol level of DFT.

Summary:
Fermi-level density of states, states/eV per cell: 2.8
DFT total energy, eV for the cell shown: -17.835
M_tot, μB/f.u.: 0.001
ΔH_f (0 K), meV/atom: -590

Cell lengths 3.522, 4.532, 7.317 Å; angles 90.00, 90.00, 90.00 degrees
Space group Pmmm (No. 47)
Unique sites:
Ca 0.000 0.000 0.000 x1
La 0.000 0.000 0.500 x1
Pb 0.500 0.500 0.238 x2

Computed, not measured: a relaxed Mn2Be crystal at the PBEsol level of DFT.

Summary:
Fermi-level density of states, states/eV per cell: 11.4
DFT total energy, eV for the cell shown: -94.998
M_tot, μB/f.u.: 0.001
ΔH_f (0 K), meV/atom: -76

Cell lengths 5.137, 5.137, 4.166 Å; angles 90.00, 90.00, 90.00 degrees
Space group I4/mcm (No. 140)
Unique sites:
Mn 0.155 0.345 0.000 x8
Be 0.000 0.000 0.250 x4

Computed, not measured: a relaxed RhSN2Cl crystal at the PBEsol level of DFT.

Summary:
Formation energy without anion corrections, eV per atom: 1.004
Fermi-level density of states, states/eV per cell: 2.5
DFT total energy, eV for the cell shown: -26.562
M_tot, μB/f.u.: 0.000
Offset from the most stable computed form, kJ/mol of atoms: 0.00

Cell lengths 3.698, 3.698, 5.259 Å; angles 90.00, 90.00, 90.00 degrees
Space group P4/mmm (No. 123)
Unique sites:
Rh 0.000 0.000 0.000 x1
S 0.000 0.000 0.500 x1
N 0.000 0.500 0.000 x2
Cl 0.500 0.500 0.500 x1